Entry 1:
The following is a PBE-GGA calculation of BiOsW2 after structural relaxation, from the Alexandria database.

Calculated values
E ... -71.94 eV for the cell shown
Spin magnetization ... 0.00 Bohr magnetons per cell
DFT formation energy ... 1261 meV per atom

Cell lengths 3.999, 3.999, 10.090 Å; angles 78.57, 78.57, 90.00 degrees
Positions (direct):
Os  0.500  0.500  0.000
Os  0.250  0.750  0.500
Bi  0.000  0.000  0.000
Bi  0.750  0.250  0.500
W  0.589  0.125  0.250
W  0.161  0.625  0.250
W  0.375  0.411  0.750
W  0.875  0.839  0.750



Entry 2:
The following is a PBE-GGA calculation of BiOsW3 after structural relaxation, from the Alexandria database.

Calculated values
E ... -44.90 eV for the cell shown
Spin magnetization ... 0.74 Bohr magnetons per cell
Energy above the lowest structure with this stoichiometry ... 0.000 eV/atom
DFT formation energy ... 1814 meV per atom

Cell lengths 4.829, 4.829, 4.829 Å; angles 90.00, 90.00, 90.00 degrees
Each line ends with the local moment (μB).
Positions (direct):
Os  0.000  0.000  0.000  -0.02
Bi  0.500  0.500  0.500  -0.02
W  0.000  0.500  0.000  0.18
W  0.000  0.000  0.500  0.22
W  0.500  0.000  0.000  0.24